[1]
Density functional theory data (PBE) for crystalline Dy3InRh at its relaxed geometry.

a b c (Å): 5.468 6.537 9.142
angles (deg): 68.27 72.60 65.28
Element x y z (fractional)
Dy 0.388 0.321 0.902
Dy 0.156 0.342 0.345
Dy 0.612 0.679 0.098
Dy 0.112 0.004 0.771
Dy 0.888 0.996 0.229
Dy 0.844 0.658 0.655
In 0.609 0.236 0.545
In 0.391 0.764 0.455
Rh 0.862 0.333 0.944
Rh 0.138 0.667 0.056

Results
SG: C2/m
Spin magnetization (μB/cell): 0.0
ΔH_f (0 K) (kJ per mole of atoms): -48.7

[2]
Density functional theory data (PBE) for crystalline Dy7In2Rh2 at its relaxed geometry.

a b c (Å): 6.817 7.085 6.817
angles (deg): 90.00 107.21 90.00
Element x y z (fractional)
Rh 0.711 0.000 0.289
Rh 0.289 0.000 0.711
Dy 0.500 0.250 0.000
Dy 0.500 0.243 0.500
Dy 0.000 0.000 0.000
Dy 0.500 0.757 0.500
Dy 0.500 0.750 0.000
Dy 0.000 0.250 0.500
Dy 0.000 0.750 0.500
In 0.824 0.500 0.824
In 0.176 0.500 0.176

Results
SG: Cmmm
Spin magnetization (μB/cell): 0.0
ΔH_f (0 K) (kJ per mole of atoms): -40.6

[3]
Density functional theory data (PBE) for crystalline Dy3InRh4 at its relaxed geometry.

a b c (Å): 4.734 6.837 9.473
angles (deg): 90.00 90.00 90.00
Element x y z (fractional)
Rh 0.500 0.749 0.000
Rh 0.500 0.251 0.000
Rh 0.500 0.749 0.500
Rh 0.000 0.749 0.250
Rh 0.000 0.749 0.750
Rh 0.000 0.251 0.250
Rh 0.500 0.251 0.500
Rh 0.000 0.251 0.750
In 0.000 0.500 0.500
In 0.000 0.500 0.000
Dy 0.000 0.000 0.500
Dy 0.500 0.500 0.750
Dy 0.500 0.000 0.750
Dy 0.500 0.500 0.250
Dy 0.500 0.000 0.250
Dy 0.000 0.000 0.000

Results
SG: P4/mmm
Spin magnetization (μB/cell): 0.0
ΔH_f (0 K) (kJ per mole of atoms): -77.2

[4]
Density functional theory data (PBE) for crystalline Dy3In3Rh2 at its relaxed geometry.

a b c (Å): 4.680 5.110 8.431
angles (deg): 101.05 106.11 90.00
Element x y z (fractional)
In 0.500 0.500 0.000
In 0.633 0.079 0.266
In 0.367 0.921 0.734
Rh 0.217 0.127 0.434
Rh 0.783 0.873 0.566
Dy 0.832 0.404 0.664
Dy 0.000 0.000 0.000
Dy 0.168 0.596 0.336

Results
SG: C2/m
Spin magnetization (μB/cell): 0.0
ΔH_f (0 K) (kJ per mole of atoms): -60.3